VASP calculation (PBE-GGA) on crystalline Ca2LaIn at its relaxed geometry.

Cell lengths 9.270, 9.270, 7.397 Å; angles 51.20, 51.20, 90.00 degrees
Atoms (fractional coordinates):
1 In 0.250 0.750 0.500
2 Ca 0.171 0.625 0.250
3 In 0.500 0.500 0.000
4 Ca 0.875 0.829 0.750
5 Ca 0.375 0.421 0.750
6 La 0.750 0.250 0.500
7 Ca 0.579 0.125 0.250
8 La 0.000 0.000 0.000

Results
DOS(E_F)   1.39 states/eV/atom
ΔE_f   0.03 eV/atom
Crystal system   tetragonal
Calculated volume   294.6 Å³ per cell